Entry from Alexandria via LeMat-Bulk: crystalline Hg2AsIr at its relaxed geometry (GGA-PBE).

Lattice parameters (Å, degrees): 3.3921 3.3921 27.0239 90.00 90.00 120.00
Space group R3m (No. 160, hexagonal axes)
Inequivalent atoms, fractional coordinates:
Hg 0.0000 0.0000 0.0000
Hg 0.0000 0.0000 0.2347
As 0.0000 0.0000 0.7696
Ir 0.0000 0.0000 0.4882

Output
V ... 269.3 Å³/cell
ρ ... 12.363 Mg/m³
E_form ... 16 kJ/mol of formula units


Entry from Alexandria via LeMat-Bulk: crystalline Hg2AsIr at its relaxed geometry (GGA-PBE).

Lattice parameters (Å, degrees): 6.751 6.751 6.751 90.00 90.00 90.00
Space group F-43m (No. 216)
Inequivalent atoms, fractional coordinates:
Hg 0.000 0.000 0.000
Hg 0.250 0.250 0.250
As 0.250 0.250 0.750
Ir 0.000 0.000 0.500

Output
V ... 307.8 Å³/cell
ρ ... 14.424 Mg/m³
E_form ... 234 kJ/mol of formula units


Entry from Alexandria via LeMat-Bulk: crystalline Hg2AsIr at its relaxed geometry (GGA-PBE).

Lattice parameters (Å, degrees): 3.014 3.014 9.556 90.00 90.00 90.00
Space group P4mm (No. 99)
Inequivalent atoms, fractional coordinates:
Hg 0.000 0.000 0.000
Hg 0.500 0.500 0.292
As 0.500 0.500 0.672
Ir 0.000 0.000 0.527

Output
V ... 86.8 Å³/cell
ρ ... 12.784 Mg/m³
E_form ... 21 kJ/mol of formula units